# BaTlCrO4

A relaxed BaTlCrO4 crystal (PBE with a Hubbard U, Alexandria via LeMat-Bulk).

a b c (Å): 6.813 5.924 8.412
angles (deg): 90.00 113.77 90.00
Positions (direct):
Ba (0.146, 0.250, 0.388)
Ba (0.854, 0.750, 0.612)
Tl (0.477, 0.750, 0.125)
Tl (0.523, 0.250, 0.875)
Cr (0.372, 0.750, 0.646)
Cr (0.628, 0.250, 0.354)
O (0.228, 0.514, 0.667)
O (0.228, 0.986, 0.667)
O (0.369, 0.750, 0.443)
O (0.379, 0.250, 0.189)
O (0.621, 0.750, 0.811)
O (0.631, 0.250, 0.557)
O (0.772, 0.014, 0.333)
O (0.772, 0.486, 0.333)

Calculated values
As for the total energy: -6.25 eV per atom. The calculation puts the volume at 22.19 Å³ per atom.